AgSe2O6 | PBE | optimized geometry

Calculated values
- Formation energy without anion corrections: -0.392 eV/atom
- Spin magnetization: 0.00 μB per cell
- Space-group type: C2/c (15)

Lattice parameters (Å, degrees): 7.4185 7.4185 6.4631 108.57 108.57 79.70
Element x y z (fractional)
1 Ag 0.1022 0.8978 0.7500
2 Ag 0.8978 0.1022 0.2500
3 Se 0.2047 0.3703 0.7442
4 Se 0.3703 0.2047 0.2442
5 Se 0.6297 0.7953 0.7558
6 Se 0.7953 0.6297 0.2558
7 O 0.0533 0.1951 0.6230
8 O 0.0895 0.5856 0.7692
9 O 0.1951 0.0533 0.1230
10 O 0.3297 0.3642 0.0827
11 O 0.3642 0.3297 0.5827
12 O 0.4144 0.9105 0.7308
13 O 0.5856 0.0895 0.2692
14 O 0.6358 0.6703 0.4173
15 O 0.6703 0.6358 0.9173
16 O 0.8049 0.9467 0.8770
17 O 0.9105 0.4144 0.2308
18 O 0.9467 0.8049 0.3770


Ag8SeO6 | PBE | optimized geometry

Calculated values
- Formation energy without anion corrections: 0.135 eV/atom
- Spin magnetization: 0.01 μB per cell
- Space-group type: R-3 (148)

Lattice parameters (Å, degrees): 6.4880 6.4880 6.4880 100.86 100.86 100.86
Element x y z (fractional)
1 Ag 0.1866 0.6228 0.8071
2 Ag 0.1929 0.8134 0.3772
3 Ag 0.2032 0.2032 0.2032
4 Ag 0.3772 0.1929 0.8134
5 Ag 0.6228 0.8071 0.1866
6 Ag 0.7968 0.7968 0.7968
7 Ag 0.8071 0.1866 0.6228
8 Ag 0.8134 0.3772 0.1929
9 Se 0.5000 0.5000 0.5000
10 O 0.1155 0.8729 0.6736
11 O 0.1271 0.3264 0.8845
12 O 0.3264 0.8845 0.1271
13 O 0.6736 0.1155 0.8729
14 O 0.8729 0.6736 0.1155
15 O 0.8845 0.1271 0.3264


Ag3SeO | PBE | optimized geometry

Calculated values
- Formation energy without anion corrections: 0.075 eV/atom
- E above lowest polymorph: 0.0 meV per atom
- Spin magnetization: 0.00 μB per cell
- Space-group type: Imma (74)

Lattice parameters (Å, degrees): 9.4533 9.4533 9.4533 152.85 147.80 42.61
Element x y z (fractional)
1 Ag 0.1466 0.3966 0.7500
2 Ag 0.2822 0.0322 0.2500
3 Ag 0.4539 0.2039 0.2500
4 Ag 0.5461 0.7961 0.7500
5 Ag 0.7178 0.9678 0.7500
6 Ag 0.8534 0.6034 0.2500
7 Se 0.3792 0.6292 0.7500
8 Se 0.6208 0.3708 0.2500
9 O 0.1558 0.9058 0.2500
10 O 0.8442 0.0942 0.7500


Ag2Se2O7 | PBE | optimized geometry

Calculated values
- Formation energy without anion corrections: -0.407 eV/atom
- Spin magnetization: 0.00 μB per cell
- Space-group type: P2_1/c (14)

Lattice parameters (Å, degrees): 5.0616 11.5824 6.0455 90.00 96.26 90.00
Element x y z (fractional)
1 Ag 0.0974 0.1515 0.3996
2 Ag 0.0974 0.3485 0.8996
3 Ag 0.9026 0.6515 0.1004
4 Ag 0.9026 0.8485 0.6004
5 Se 0.3612 0.6131 0.6585
6 Se 0.3612 0.8869 0.1585
7 Se 0.6388 0.1131 0.8415
8 Se 0.6388 0.3869 0.3415
9 O 0.1450 0.6819 0.4764
10 O 0.1450 0.8181 0.9764
11 O 0.2160 0.5449 0.8557
12 O 0.2160 0.9551 0.3557
13 O 0.3800 0.1931 0.7423
14 O 0.3800 0.3069 0.2423
15 O 0.5000 0.0000 0.0000
16 O 0.5000 0.5000 0.5000
17 O 0.6200 0.6931 0.7577
18 O 0.6200 0.8069 0.2577
19 O 0.7840 0.0449 0.6443
20 O 0.7840 0.4551 0.1443
21 O 0.8550 0.1819 0.0236
22 O 0.8550 0.3181 0.5236


Ag2Se2O7 | PBE | optimized geometry

Calculated values
- Formation energy without anion corrections: -0.406 eV/atom
- Spin magnetization: 0.00 μB per cell
- Space-group type: C2/m (12)

Lattice parameters (Å, degrees): 6.0522 6.0522 5.0654 97.04 97.04 103.95
Element x y z (fractional)
1 Ag 0.1961 0.8039 0.0000
2 Ag 0.8039 0.1961 0.0000
3 Se 0.2770 0.2770 0.5890
4 Se 0.7230 0.7230 0.4110
5 O 0.1245 0.4169 0.7662
6 O 0.1314 0.1314 0.2934
7 O 0.4169 0.1245 0.7662
8 O 0.5000 0.5000 0.5000
9 O 0.5831 0.8755 0.2338
10 O 0.8686 0.8686 0.7066
11 O 0.8755 0.5831 0.2338


AgSeO5 | PBE | optimized geometry

Calculated values
- Formation energy without anion corrections: 0.135 eV/atom
- Spin magnetization: 2.42 μB per cell
- Space-group type: C2/c (15)

Lattice parameters (Å, degrees): 5.1542 5.1542 7.3732 109.62 109.62 74.31
Element x y z (fractional)
1 Ag 0.0008 0.9992 0.7500
2 Ag 0.9992 0.0008 0.2500
3 Se 0.5000 0.5000 0.0000
4 Se 0.5000 0.5000 0.5000
5 O 0.1678 0.7368 0.9974
6 O 0.1889 0.3566 0.3808
7 O 0.2632 0.8322 0.5026
8 O 0.3566 0.1889 0.8808
9 O 0.4412 0.5588 0.7500
10 O 0.5588 0.4412 0.2500
11 O 0.6434 0.8111 0.1192
12 O 0.7368 0.1678 0.4974
13 O 0.8111 0.6434 0.6192
14 O 0.8322 0.2632 0.0026


SiAgSe2O | PBE | optimized geometry

Calculated values
- Formation energy without anion corrections: 0.483 eV/atom
- Spin magnetization: 0.00 μB per cell
- Space-group type: P4/mmm (123)

Lattice parameters (Å, degrees): 4.6325 4.6325 4.3441 90.00 90.00 90.00
Element x y z (fractional)
1 Si 0.0000 0.0000 0.0000
2 Ag 0.5000 0.5000 0.0000
3 Se 0.0000 0.5000 0.5000
4 Se 0.5000 0.0000 0.5000
5 O 0.5000 0.5000 0.5000


SrAgSe2O6 | PBE | optimized geometry

Calculated values
- Formation energy without anion corrections: -1.132 eV/atom
- Spin magnetization: 0.00 μB per cell
- Space-group type: C2/c (15)

Lattice parameters (Å, degrees): 7.0368 7.0368 6.6399 100.77 100.77 99.44
Element x y z (fractional)
1 Sr 0.1573 0.8427 0.7500
2 Sr 0.8427 0.1573 0.2500
3 Ag 0.4116 0.5884 0.2500
4 Ag 0.5884 0.4116 0.7500
5 Se 0.0656 0.3427 0.8281
6 Se 0.3427 0.0656 0.3281
7 Se 0.6573 0.9344 0.6719
8 Se 0.9344 0.6573 0.1719
9 O 0.0722 0.5127 0.2980
10 O 0.0957 0.1747 0.6223
11 O 0.1747 0.0957 0.1223
12 O 0.2970 0.5125 0.9095
13 O 0.4875 0.7030 0.5905
14 O 0.4873 0.9278 0.2020
15 O 0.5127 0.0722 0.7980
16 O 0.5125 0.2970 0.4095
17 O 0.7030 0.4875 0.0905
18 O 0.8253 0.9043 0.8777
19 O 0.9043 0.8253 0.3777
20 O 0.9278 0.4873 0.7020